(1)
BeAsRh3: relaxed, PBE.

The space group is Pm-3m (No. 221) and the conventional cell measures 4.4876, 4.4876 and 4.4876 Å, with angles of 90.00, 90.00 and 90.00 degrees. The inequivalent atoms are Be at (0.0000, 0.0000, 0.0000), As at (0.5000, 0.5000, 0.5000) and Rh at (0.0000, 0.5000, 0.5000).

The calculation puts the formation energy from the elements at 0.63 eV per atom. The calculation puts the energy above the most stable polymorph in this dataset at 456 meV per atom. For the total magnetization, the calculation gives 0.00 μB/f.u.

(2)
Be2AsRh2: relaxed, PBE.

The space group is P4/mbm (No. 127) and the conventional cell measures 6.5554, 6.5554 and 2.9157 Å, with angles of 90.00, 90.00 and 90.00 degrees. The inequivalent atoms are Be at (0.1278, 0.3722, 0.0000), As at (0.0000, 0.0000, 0.5000) and Rh at (0.1621, 0.6621, 0.5000).

The calculation puts the formation energy from the elements at -0.30 eV per atom. The calculation puts the energy above the most stable polymorph in this dataset at 8 meV per atom. For the total magnetization, the calculation gives 0.00 μB/f.u.

(3)
Be2As2Rh: relaxed, PBE.

The space group is P4/mbm (No. 127) and the conventional cell measures 6.6135, 6.6135 and 3.2438 Å, with angles of 90.00, 90.00 and 90.00 degrees. The inequivalent atoms are Be at (0.1175, 0.3825, 0.0000), As at (0.1649, 0.6649, 0.5000) and Rh at (0.0000, 0.0000, 0.5000).

The calculation puts the formation energy from the elements at 0.23 eV per atom. The calculation puts the energy above the most stable polymorph in this dataset at 0 meV per atom. For the total magnetization, the calculation gives 0.00 μB/f.u.

(4)
Be3AsRh: relaxed, PBE.

The space group is Pm-3m (No. 221) and the conventional cell measures 4.1897, 4.1897 and 4.1897 Å, with angles of 90.00, 90.00 and 90.00 degrees. The inequivalent atoms are Be at (0.0000, 0.0000, 0.5000), As at (0.5000, 0.5000, 0.5000) and Rh at (0.0000, 0.0000, 0.0000).

The calculation puts the formation energy from the elements at 0.47 eV per atom. The calculation puts the energy above the most stable polymorph in this dataset at 0 meV per atom. For the total magnetization, the calculation gives 0.00 μB/f.u.

(5)
BeSbAs2Rh: relaxed, PBE.

The space group is P4/mmm (No. 123) and the conventional cell measures 4.6047, 4.6047 and 5.7327 Å, with angles of 90.00, 90.00 and 90.00 degrees. The inequivalent atoms are Be at (0.0000, 0.0000, 0.0000), Sb at (0.5000, 0.5000, 0.0000), As at (0.0000, 0.5000, 0.5000) and Rh at (0.5000, 0.5000, 0.5000).

The uncorrected formation energy is 3.9 eV/f.u. For the total magnetization, the calculation gives 0.00 μB/f.u.

(6)
BeAs2RhSe: relaxed, PBE.

The space group is P4/mmm (No. 123) and the conventional cell measures 4.6443, 4.6443 and 5.3105 Å, with angles of 90.00, 90.00 and 90.00 degrees. The inequivalent atoms are Be at (0.0000, 0.0000, 0.0000), As at (0.0000, 0.5000, 0.5000), Rh at (0.5000, 0.5000, 0.5000) and Se at (0.5000, 0.5000, 0.0000).

The uncorrected formation energy is 4.0 eV/f.u. The calculation puts the energy above the most stable polymorph in this dataset at 244 meV per atom. For the total magnetization, the calculation gives 0.00 μB/f.u.

total magnetization of number 4 (Be3AsRh)? 0.00 μB/f.u.